1.
K3InFe | PBEsol | relaxed

POSCAR file:
```
K3InFe
1.0
-1.707 4.801 -4.139
-5.706 -3.031 -1.163
-2.762 3.295 4.961
K Fe In
3 1 1
direct
0.000 0.500 0.000 K
0.000 0.000 0.500 K
0.500 0.000 0.000 K
0.500 0.500 0.500 Fe
0.000 0.000 0.000 In
```

Output
Space group: Pm-3m, No. 221
ΔE_f in meV/atom: 1077
Density of states at the Fermi level in states/eV per atom: 2.645
Total magnetic moment in μB/f.u.: 3.6
V in Å³/f.u.: 282.9

=====

2.
K2InFe | PBEsol | relaxed

POSCAR file:
```
K2InFe
1.0
-1.397 -0.485 -4.124
-0.686 -4.271 0.735
-5.353 1.148 1.678
Fe In K
1 1 2
direct
0.500 0.000 0.500 Fe
0.000 0.500 0.500 In
0.000 0.000 0.000 K
0.500 0.500 0.000 K
```

Output
Space group: P4/mmm, No. 123
ΔE_f in meV/atom: 783
Density of states at the Fermi level in states/eV per atom: 0.576
Total magnetic moment in μB/f.u.: 2.9
V in Å³/f.u.: 110.0

=====

3.
La2InFe | PBEsol | relaxed

POSCAR file:
```
La2InFe
1.0
-1.196 4.833 0.827
-1.477 2.927 -3.838
-4.808 1.501 -0.324
Fe In La
1 1 2
direct
0.500 0.500 0.500 Fe
0.250 0.250 0.250 In
0.000 0.000 0.000 La
0.750 0.750 0.750 La
```

Output
Space group: F-43m, No. 216
ΔE_f in meV/atom: 65
Density of states at the Fermi level in states/eV per atom: 1.396
Total magnetic moment in μB/f.u.: 1.0
V in Å³/f.u.: 90.9

=====

4.
LaIn3Fe | PBEsol | relaxed

POSCAR file:
```
LaIn3Fe
1.0
-4.041 -4.233 0.189
4.196 -4.034 -0.640
0.593 -0.306 5.817
In Fe La
3 1 1
direct
0.000 0.500 0.000 In
0.000 0.000 0.500 In
0.500 0.000 0.000 In
0.500 0.500 0.500 Fe
0.000 0.000 0.000 La
```

Output
Space group: Pm-3m, No. 221
ΔE_f in meV/atom: 1541
Density of states at the Fermi level in states/eV per atom: 2.059
Total magnetic moment in μB/f.u.: 3.2
V in Å³/f.u.: 200.7

=====

5.
La2InFe | PBEsol | relaxed

POSCAR file:
```
La2InFe
1.0
-2.659 -2.073 -2.581
3.393 -3.477 -0.702
-1.771 -2.502 3.833
Fe In La
1 1 2
direct
0.500 0.500 0.500 Fe
0.500 0.000 0.000 In
0.000 0.000 0.500 La
0.000 0.500 0.000 La
```

Output
Space group: P4/mmm, No. 123
ΔE_f in meV/atom: 56
Density of states at the Fermi level in states/eV per atom: 1.661
Total magnetic moment in μB/f.u.: 1.9
V in Å³/f.u.: 102.3

=====

6.
La3InFe | PBEsol | relaxed

POSCAR file:
```
La3InFe
1.0
-0.305 -5.042 1.118
0.664 -1.149 -5.001
5.122 -0.151 0.715
In Fe La
1 1 3
direct
0.500 0.500 0.500 In
0.000 0.000 0.000 Fe
0.000 0.500 0.000 La
0.000 0.000 0.500 La
0.500 0.000 0.000 La
```

Output
Space group: Pm-3m, No. 221
ΔE_f in meV/atom: -220
Density of states at the Fermi level in states/eV per atom: 1.033
Total magnetic moment in μB/f.u.: 0.0
V in Å³/f.u.: 138.5

=====

7.
La3InFeS7 | PBEsol | relaxed

POSCAR file:
```
La3InFeS7
1.0
-3.424 2.371 -4.750
-3.895 -8.896 -1.632
-4.376 6.218 6.258
La In Fe S
6 2 2 14
direct
0.321 0.628 0.835 La
0.321 0.165 0.794 La
0.321 0.206 0.372 La
0.821 0.372 0.165 La
0.821 0.835 0.206 La
0.821 0.794 0.628 La
0.394 0.667 0.333 In
0.894 0.333 0.667 In
0.463 0.000 0.000 Fe
0.963 0.000 0.000 Fe
0.214 0.909 0.112 S
0.214 0.888 0.797 S
0.214 0.203 0.091 S
0.714 0.091 0.888 S
0.714 0.112 0.203 S
0.714 0.797 0.909 S
0.051 0.480 0.551 S
0.051 0.449 0.928 S
0.051 0.072 0.520 S
0.551 0.520 0.449 S
0.551 0.551 0.072 S
0.551 0.928 0.480 S
0.015 0.667 0.333 S
0.515 0.333 0.667 S
```

Output
Space group: P6_3, No. 173
Total magnetic moment in μB/f.u.: 0.0
V in Å³/f.u.: 265.3
Formation energy (no corrections) in meV/atom: -1553.7

=====

8.
LaInFe2Te | PBEsol | relaxed

POSCAR file:
```
LaInFe2Te
1.0
-4.493 1.135 -0.811
-1.395 -3.660 2.605
-0.003 3.536 4.967
Te In Fe La
1 1 2 1
direct
0.000 0.000 0.500 Te
0.500 0.500 0.500 In
0.000 0.500 0.000 Fe
0.500 0.000 0.000 Fe
0.000 0.000 0.000 La
```

Output
Space group: P4/mmm, No. 123
Density of states at the Fermi level in states/eV per atom: 1.361
Total magnetic moment in μB/f.u.: 4.0
V in Å³/f.u.: 134.9
Formation energy (no corrections) in meV/atom: 1181.3

=====

9.
LiInFe2 | PBEsol | relaxed

POSCAR file:
```
LiInFe2
1.0
3.127 0.000 0.000
0.000 3.127 0.000
0.000 0.000 5.497
Fe In Li
2 1 1
direct
0.000 0.000 0.709 Fe
0.000 0.000 0.291 Fe
0.500 0.500 0.000 In
0.500 0.500 0.500 Li
```

Output
Space group: P4/mmm, No. 123
ΔE_f in meV/atom: 377
Density of states at the Fermi level in states/eV per atom: 0.890
Total magnetic moment in μB/f.u.: 4.2
V in Å³/f.u.: 53.7

=====

10.
LiInFe2 | PBEsol | relaxed

POSCAR file:
```
LiInFe2
1.0
3.688 0.000 0.000
0.000 3.519 0.000
0.000 0.000 4.161
Fe In Li
2 1 1
direct
0.000 0.000 0.000 Fe
0.500 0.500 0.000 Fe
0.500 0.000 0.500 In
0.000 0.500 0.500 Li
```

Output
Space group: Pmmm, No. 47
ΔE_f in meV/atom: 172
Density of states at the Fermi level in states/eV per atom: 0.523
Total magnetic moment in μB/f.u.: 4.7
V in Å³/f.u.: 54.0

=====

11.
LiIn2Fe | PBEsol | relaxed

POSCAR file:
```
LiIn2Fe
1.0
-1.324 0.720 -3.184
-2.835 -1.958 0.737
-2.608 4.574 2.118
Fe In Li
1 2 1
direct
0.500 0.500 0.765 Fe
0.000 0.000 0.950 In
0.500 0.500 0.281 In
0.000 0.000 0.504 Li
```

Output
Space group: P4mm, No. 99
ΔE_f in meV/atom: 170
Density of states at the Fermi level in states/eV per atom: 0.783
Total magnetic moment in μB/f.u.: 2.2
V in Å³/f.u.: 70.4

=====

12.
MgIn2Fe | PBEsol | relaxed

POSCAR file:
```
MgIn2Fe
1.0
4.174 0.000 0.000
0.000 4.174 0.000
-2.087 -2.087 4.161
Fe In Mg
1 2 1
direct
0.500 0.500 0.000 Fe
0.750 0.250 0.500 In
0.250 0.750 0.500 In
0.000 0.000 0.000 Mg
```

Output
Space group: I4/mmm, No. 139
ΔE_f in meV/atom: 165
Density of states at the Fermi level in states/eV per atom: 0.372
Total magnetic moment in μB/f.u.: 1.9
V in Å³/f.u.: 72.5